DFT (PBE-GGA) results for crystalline BaHg3Pd at its relaxed geometry.

The structure in POSCAR format:
```
BaHg3Pd
1.0
0.4415 -4.4934 -5.8521
7.5887 -0.4388 0.9094
-4.6404 -1.7448 5.6574
Hg Pd Ba
6 2 2
direct
0.2361 0.2361 0.9722 Hg
0.2500 0.7744 0.5000 Hg
0.7639 0.7639 0.0278 Hg
0.7361 0.2361 0.9722 Hg
0.7500 0.2256 0.5000 Hg
0.2639 0.7639 0.0278 Hg
0.0000 0.5000 0.0000 Pd
0.5000 0.0000 0.0000 Pd
0.7500 0.7194 0.5000 Ba
0.2500 0.2806 0.5000 Ba
```

**Formation energy from the elements**: -1.8 eV per formula unit
**Crystal system**: orthorhombic
**Total magnetic moment**: 0.00 Bohr magnetons per cell
**Energy above the most stable polymorph in this dataset**: 0.188 eV per formula unit